# PBE-GGA Ba3Tl2Pd4, optimized geometry
# Density of states at the Fermi level: 5.05 states/eV/f.u.
# Space group: C2/m
# ΔE_f: -0.49 eV/atom
# E above lowest polymorph: 0.000 eV/atom
# E: -3.969 eV per atom
data_Ba3Tl2Pd4
_chemical_formula_sum 'Ba3 Tl2 Pd4'
_symmetry_space_group_name_H-M 'P 1'
_symmetry_Int_Tables_number 1
_cell_length_a 6.248
_cell_length_b 6.248
_cell_length_c 9.362
_cell_angle_alpha 98.83
_cell_angle_beta 98.83
_cell_angle_gamma 45.34
loop_
_symmetry_equiv_pos_as_xyz
'x,y,z'
loop_
_atom_site_label
_atom_site_fract_x
_atom_site_fract_y
_atom_site_fract_z
Ba1 0.000 0.000 0.000
Ba2 0.375 0.375 0.615
Ba3 0.625 0.625 0.385
Tl1 0.318 0.318 0.220
Tl2 0.682 0.682 0.780
Pd1 0.082 0.082 0.637
Pd2 0.264 0.264 0.915
Pd3 0.736 0.736 0.085
Pd4 0.918 0.918 0.363